1.
A plane-wave DFT calculation with PBE-GGA was carried out for a relaxed structure of KAlNi2.

## Properties
- VASP energy: -15.53 eV for the cell shown
- Energy of formation: 0.218 eV/atom

Structure (POSCAR):
```
KAlNi2
1.0
2.800 0.000 0.000
0.000 3.977 0.000
-1.340 0.000 6.948
K Al Ni
1 1 2
direct
0.000 0.000 0.000
0.283 0.500 0.590
0.651 0.500 0.312
0.746 0.000 0.516
```

***

2.
A plane-wave DFT calculation with PBE-GGA was carried out for a relaxed structure of KAlNi2.

## Properties
- VASP energy: -13.19 eV for the cell shown
- Energy of formation: 0.803 eV/atom

Structure (POSCAR):
```
KAlNi2
1.0
0.000 3.249 3.249
3.249 0.000 3.249
3.249 3.249 0.000
K Al Ni
1 1 2
direct
0.000 0.000 0.000
0.750 0.750 0.750
0.250 0.250 0.250
0.500 0.500 0.500
```